Record 1
3
Lattice="4.3857 -0.0009 0.0057 2.1820 3.8043 -0.0057 -2.9143 -2.5397 2.0714" Properties=species:S:1:pos:R:3 comment="FeCuNi (PBE, optimized geometry)" relative_energy_mev_per_atom=13 mass_density_g_cm3=8.563 energy_ry_per_atom=-0.4485 spacegroup=Imm2 delta_e_f_ev_per_atom=0.01 magmom_total_mub_per_cell=3.32 pbc="T T T"
Fe 4.3927 2.5439 0.0000
Ni 2.1822 1.2637 0.0000
Cu 6.5604 3.7992 0.0000

---

Record 2
4
Lattice="8.4932 -0.0020 -0.0012 8.1177 2.4973 -0.0012 8.1177 1.2195 2.1794" Properties=species:S:1:pos:R:3 comment="FeCu2Ni (PBE, optimized geometry)" mass_density_g_cm3=8.669 energy_ry_per_atom=-0.4097 spacegroup=R3m delta_e_f_ev_per_atom=0.04 magmom_total_mub_per_cell=2.90 pbc="T T T"
Cu 0.0305 0.0046 0.0027
Ni 18.5725 2.7900 1.6351
Cu 6.1768 0.9279 0.5438
Fe 12.3132 1.8497 1.0840

---

Record 3
4
Lattice="-1.2595 2.3731 2.3211 -2.9426 0.3524 -1.9571 -1.5947 -2.7136 1.9091" Properties=species:S:1:pos:R:3 comment="Fe2CuNi (PBE, optimized geometry)" relative_energy_mev_per_atom=6 mass_density_g_cm3=8.368 energy_ry_per_atom=-0.4893 spacegroup=P4/mmm delta_e_f_ev_per_atom=0.04 magmom_total_mub_per_cell=6.06 pbc="T T T"
Fe -2.1011 1.3627 0.1820
Cu -2.2686 -1.1806 -0.0240
Fe 0.0000 0.0000 0.0000
Ni -1.4271 -0.1703 2.1151

---

Record 4
16
Lattice="3.5357 0.0000 0.0000 0.0000 3.5357 0.0000 0.0000 0.0000 14.1799" Properties=species:S:1:pos:R:3 comment="FeCu3Ni12 (PBE, optimized geometry)" mass_density_g_cm3=8.907 energy_ry_per_atom=-0.4132 spacegroup=P4/mmm delta_e_f_ev_per_atom=0.01 magmom_total_mub_per_cell=4.74 pbc="T T T"
Ni 1.7678 0.0000 12.4295
Ni 0.0000 1.7678 5.3218
Ni 1.7678 1.7678 0.0000
Fe 0.0000 0.0000 0.0000
Ni 1.7678 0.0000 8.8581
Cu 0.0000 0.0000 10.6304
Ni 1.7678 1.7678 10.6506
Cu 0.0000 0.0000 7.0899
Ni 1.7678 0.0000 1.7504
Ni 0.0000 1.7678 12.4295
Ni 0.0000 1.7678 8.8581
Ni 1.7678 1.7678 3.5292
Ni 0.0000 1.7678 1.7504
Ni 1.7678 1.7678 7.0899
Cu 0.0000 0.0000 3.5494
Ni 1.7678 0.0000 5.3218

---

Record 5
12
Lattice="4.8338 0.0000 -0.0863 0.0000 4.3419 0.0000 -3.9868 0.0000 6.7026" Properties=species:S:1:pos:R:3 comment="FeCuNi (PBE, optimized geometry)" relative_energy_mev_per_atom=110 mass_density_g_cm3=8.499 energy_ry_per_atom=-0.4414 spacegroup=C2 delta_e_f_ev_per_atom=0.11 magmom_total_mub_per_cell=13.33 pbc="T T T"
Ni 1.7482 4.2658 1.0591
Fe 2.1678 2.7242 4.3803
Ni -0.2452 2.0949 4.4104
Fe -3.3141 0.5532 5.5874
Fe 4.1611 0.5532 1.0289
Cu -1.9934 0.5666 3.3513
Fe -1.3207 2.7242 2.2361
Ni 1.0922 2.0949 2.2059
Cu 0.4235 4.2587 3.3082
Cu 2.4169 2.0877 -0.0431
Ni -0.9011 4.2658 5.5572
Cu 0.0000 2.7376 0.0000

---

Record 6
16
Lattice="-5.2059 2.1926 2.4501 -3.0214 -4.9999 -1.9453 5.1524 -0.8767 3.9954" Properties=species:S:1:pos:R:3 comment="FeCu2Ni5 (PBE, optimized geometry)" relative_energy_mev_per_atom=221 mass_density_g_cm3=8.462 energy_ry_per_atom=-0.4044 spacegroup=I4/mcm delta_e_f_ev_per_atom=0.19 magmom_total_mub_per_cell=10.89 pbc="T T T"
Fe -3.5943 -2.5439 2.3763
Ni -4.1137 -1.4037 0.2524
Cu -3.7885 0.6918 1.2978
Ni -0.6901 -0.0071 3.9814
Fe 0.5194 -1.1402 2.1239
Cu -4.4388 -3.4991 -0.7930
Ni -2.3848 -3.6769 0.5189
Cu -6.4018 -1.3438 0.8441
Ni 0.0000 0.0000 0.0000
Cu -1.8255 -1.4636 -0.3393
Ni -3.1312 -0.8401 4.1311
Ni -1.1424 -2.9528 2.5106
Ni -0.4943 -5.0869 1.2065
Ni 0.0563 -2.8440 0.3691
Ni -1.9325 -0.7312 1.9896
Ni -2.5806 1.4028 3.2938

---

Record 7
4
Lattice="-2.8719 3.0513 -1.2342 -4.1818 1.2622 -0.0237 0.0111 2.4930 3.6966" Properties=species:S:1:pos:R:3 comment="FeCu2Ni (PBE, optimized geometry)" mass_density_g_cm3=8.632 energy_ry_per_atom=-0.4077 spacegroup=Cm delta_e_f_ev_per_atom=0.06 magmom_total_mub_per_cell=3.11 pbc="T T T"
Cu -5.2796 5.1192 1.8527
Fe -3.5379 3.3824 1.1706
Ni -1.7594 1.7292 0.6518
Cu -7.0295 6.7854 2.4217

---

Record 8
15
Lattice="5.3154 0.0000 2.5423 2.0497 4.9043 2.5423 -0.1763 -0.1174 7.1963" Properties=species:S:1:pos:R:3 comment="Fe6CuNi8 (PBE, optimized geometry)" relative_energy_mev_per_atom=111 mass_density_g_cm3=7.557 energy_ry_per_atom=-0.4694 spacegroup=R-3 delta_e_f_ev_per_atom=0.35 magmom_total_mub_per_cell=22.66 pbc="T T T"
Ni 2.0015 1.9984 4.6274
Fe 3.0279 3.2778 8.3736
Fe 3.3118 4.0105 4.2978
Ni 4.9879 3.3213 10.0549
Ni 4.0697 4.5551 6.4308
Fe 5.7079 3.2572 5.2039
Ni 5.1874 2.7886 7.6536
Ni 3.1192 0.2318 5.8501
Cu 0.0000 0.0000 0.0000
Fe 3.8771 0.7765 7.9832
Ni 1.8022 3.7108 6.3282
Fe 1.4809 1.5298 7.0770
Fe 4.1609 1.5092 3.9073
Ni 5.3867 1.0761 5.9528
Ni 2.2010 1.4656 2.2260

---

Record 9
5
Lattice="-4.1168 0.2042 -1.0446 1.0288 -0.3072 -4.1144 -0.2731 -4.2362 0.2480" Properties=species:S:1:pos:R:3 comment="FeCuNi3 (PBE, optimized geometry)" relative_energy_mev_per_atom=1106 mass_density_g_cm3=6.382 energy_ry_per_atom=-0.3592 spacegroup=Pm-3m delta_e_f_ev_per_atom=1.09 magmom_total_mub_per_cell=4.81 pbc="T T T"
Cu -1.6806 -2.1696 -2.4555
Ni -2.0584 0.1021 -0.5223
Ni -0.1365 -2.1181 0.1240
Ni 0.5144 -0.1536 -2.0572
Fe 0.0000 0.0000 0.0000

---

Record 10
4
Lattice="4.2352 0.0000 0.0000 0.0000 2.4712 -0.0269 0.0000 0.4971 4.4622" Properties=species:S:1:pos:R:3 comment="FeCu2Ni (PBE, optimized geometry)" mass_density_g_cm3=8.581 energy_ry_per_atom=-0.4044 spacegroup=P2/m delta_e_f_ev_per_atom=0.11 magmom_total_mub_per_cell=3.08 pbc="T T T"
Cu 0.0000 2.9431 4.4269
Ni 2.1176 2.2262 3.3265
Cu 0.0000 1.5094 2.2260
Fe 2.1176 0.7421 1.1088

---

Record 11
11
Lattice="4.3947 -0.2442 -0.3127 -2.2792 5.6903 0.6097 -2.2792 -0.7881 5.6684" Properties=species:S:1:pos:R:3 comment="FeCu3Ni7 (PBE, optimized geometry)" mass_density_g_cm3=8.001 energy_ry_per_atom=-0.3841 spacegroup=C2/m delta_e_f_ev_per_atom=0.34 magmom_total_mub_per_cell=6.44 pbc="T T T"
Ni 0.6513 0.9712 1.2438
Fe -0.0819 2.3290 2.9827
Cu 2.1974 -0.1221 -0.1563
Ni -0.8150 3.6869 4.7216
Ni -0.0633 -0.1307 3.2428
Ni -0.1004 1.4804 5.3059
Cu -2.2792 4.3398 1.6642
Ni -2.2792 2.4511 3.1390
Ni -0.0633 3.1777 0.6594
Cu -2.2792 0.5625 4.6138
Ni -0.1004 4.7888 2.7225

---

Record 12
4
Lattice="-0.4364 1.8710 1.6479 -0.1502 -1.6897 1.8786 7.1310 0.6479 1.1528" Properties=species:S:1:pos:R:3 comment="FeCu2Ni (PBE, optimized geometry)" mass_density_g_cm3=8.635 energy_ry_per_atom=-0.4100 spacegroup=P4mm delta_e_f_ev_per_atom=0.03 magmom_total_mub_per_cell=3.10 pbc="T T T"
Ni 5.0338 0.5746 2.6244
Cu 7.0982 0.6449 1.1475
Cu 1.4873 0.2524 2.0511
Fe 3.6216 0.3290 0.5855